[1]
Density functional theory data (PBE) for a geometry-optimized PrGa3Ni structure.

Output
* volume: 19.68 Å³/atom
* D(E_F): 3.3 states/eV/f.u.
* total moment: 0.0 μB per cell
* DFT formation energy: -2.0 eV/f.u.

Cell lengths 4.617, 4.617, 4.617 Å; angles 90.00, 90.00, 90.00 degrees
Space group Pm-3m (No. 221)
Symmetry-distinct sites (fractional):
Pr 0.000 0.000 0.000
Ga 0.000 0.500 0.500
Ni 0.500 0.500 0.500

[2]
Density functional theory data (PBE) for a geometry-optimized Pr7Ga2Ni2 structure.

Output
* volume: 29.13 Å³/atom
* D(E_F): 11.3 states/eV/f.u.
* total moment: 0.0 μB per cell
* DFT formation energy: -2.1 eV/f.u.

Cell lengths 7.977, 11.375, 7.063 Å; angles 90.00, 90.00, 90.00 degrees
Space group Cmmm (No. 65)
Symmetry-distinct sites (fractional):
Pr 0.000 0.000 0.000
Pr 0.000 0.500 0.252
Pr 0.250 0.250 0.258
Ga 0.160 0.000 0.500
Ni 0.000 0.296 0.000

[3]
Density functional theory data (PBE) for a geometry-optimized Pr3Ga3Ni8 structure.

Output
* volume: 16.88 Å³/atom
* D(E_F): 9.5 states/eV/f.u.
* total moment: 0.0 μB per cell
* DFT formation energy: -5.2 eV/f.u.

Cell lengths 4.089, 9.355, 12.358 Å; angles 90.00, 90.00, 90.00 degrees
Space group Immm (No. 71)
Symmetry-distinct sites (fractional):
Pr 0.000 0.000 0.000
Pr 0.000 0.000 0.294
Ga 0.000 0.235 0.500
Ga 0.000 0.500 0.000
Ni 0.000 0.283 0.108
Ni 0.000 0.304 0.304

[4]
Density functional theory data (PBE) for a geometry-optimized Pr4Ga2Ni structure.

Output
* volume: 27.86 Å³/atom
* D(E_F): 5.8 states/eV/f.u.
* total moment: 0.0 μB per cell
* DFT formation energy: -2.0 eV/f.u.

Cell lengths 17.069, 3.889, 6.283 Å; angles 90.00, 110.74, 90.00 degrees
Space group C2/m (No. 12)
Symmetry-distinct sites (fractional):
Pr 0.087 0.000 0.441
Pr 0.135 0.500 0.997
Ga 0.238 0.500 0.637
Ni 0.000 0.000 0.000

[5]
Density functional theory data (PBE) for a geometry-optimized Pr3Ga4Ni2 structure.

Output
* volume: 21.37 Å³/atom
* D(E_F): 6.9 states/eV/f.u.
* total moment: 0.0 μB per cell
* DFT formation energy: -5.0 eV/f.u.

Cell lengths 11.001, 4.373, 8.294 Å; angles 90.00, 105.37, 90.00 degrees
Space group C2/m (No. 12)
Symmetry-distinct sites (fractional):
Pr 0.000 0.000 0.000
Pr 0.115 0.500 0.693
Ga 0.111 0.000 0.408
Ga 0.219 0.500 0.082
Ni 0.190 0.500 0.365

[6]
Density functional theory data (PBE) for a geometry-optimized Pr6GaNi structure.

Output
* volume: 32.81 Å³/atom
* D(E_F): 10.8 states/eV/f.u.
* total moment: 0.0 μB per cell
* DFT formation energy: -0.2 eV/f.u.

Cell lengths 7.544, 11.026, 6.619 Å; angles 90.00, 107.52, 90.00 degrees
Space group C2/m (No. 12)
Symmetry-distinct sites (fractional):
Pr 0.194 0.183 0.258
Pr 0.235 0.500 0.197
Ga 0.000 0.500 0.500
Ni 0.000 0.000 0.000

Repeat the first record exactly.
Density functional theory data (PBE) for a geometry-optimized PrGa3Ni structure.

Output
* volume: 19.68 Å³/atom
* D(E_F): 3.3 states/eV/f.u.
* total moment: 0.0 μB per cell
* DFT formation energy: -2.0 eV/f.u.

Cell lengths 4.617, 4.617, 4.617 Å; angles 90.00, 90.00, 90.00 degrees
Space group Pm-3m (No. 221)
Symmetry-distinct sites (fractional):
Pr 0.000 0.000 0.000
Ga 0.000 0.500 0.500
Ni 0.500 0.500 0.500

volume of number 6 (Pr6GaNi)?
32.81 Å³/atom